[1]
{"formula": "Ca3HfCr", "functional": "meta-GGA SCAN", "state": "single point on PBEsol structure", "cell": [[5.393, 0.000, 0.000], [0.000, 5.393, 0.000], [0.000, 0.000, 5.393]], "species": ["Ca", "Cr", "Ca", "Ca", "Hf"], "frac_coords": [[0.000, 0.000, 0.500], [0.000, 0.000, 0.000], [0.000, 0.500, 0.000], [0.500, 0.000, 0.000], [0.500, 0.500, 0.500]], "dos_ef_per_ev_atom": 0.930, "final_energy_ev_per_atom": -21.01, "e_form_ev_per_atom": 1.00, "magmom_total_mub_per_atom": 0.466}

***

[2]
{"formula": "CaHf3Cr", "functional": "meta-GGA SCAN", "state": "single point on PBEsol structure", "cell": [[-0.793, -1.210, -4.675], [-3.599, -3.010, 1.390], [-3.219, 3.663, -0.402]], "species": ["Hf", "Cr", "Ca", "Hf", "Hf"], "frac_coords": [[0.000, 0.000, 0.500], [0.500, 0.500, 0.500], [0.000, 0.000, 0.000], [0.500, 0.000, 0.000], [0.000, 0.500, 0.000]], "dos_ef_per_ev_atom": 1.280, "final_energy_ev_per_atom": -41.22, "e_form_ev_per_atom": 1.99, "magmom_total_mub_per_atom": 0.798}